Record 1
Density functional theory data (PBE) for a relaxed SrZn2Cu2 crystal.

As for the excess energy over the best structure of this formula in the dataset: 10 meV per atom.

It has space group I4/mmm (No. 139), with a = 4.479 Å, b = 4.479 Å, c = 9.700 Å, α = 90.00°, β = 90.00° and γ = 90.00°. Symmetry generates all atoms from Sr at (0.000, 0.000, 0.000), Zn at (0.000, 0.000, 0.365) and Cu at (0.000, 0.500, 0.250).

Record 2
Density functional theory data (PBE) for a relaxed BeAlSe2 crystal.

The value obtained for the energy relative to the elements, uncorrected is 576 meV/atom. As for the excess energy over the best structure of this formula in the dataset: 984 meV per atom.

It has space group F-43m (No. 216), with a = 6.571 Å, b = 6.571 Å, c = 6.571 Å, α = 90.00°, β = 90.00° and γ = 90.00°. Symmetry generates all atoms from Be at (0.000, 0.000, 0.000), Al at (0.250, 0.250, 0.250), Se at (0.000, 0.000, 0.500) and Se at (0.250, 0.250, 0.750).

Record 3
Density functional theory data (PBE) for a relaxed Cd3InHg7 crystal.

As for the excess energy over the best structure of this formula in the dataset: 2 meV per atom.

It has space group C2/m (No. 12), with a = 10.663 Å, b = 11.224 Å, c = 5.844 Å, α = 90.00°, β = 121.49° and γ = 90.00°. Symmetry generates all atoms from Cd at (0.000, 0.000, 0.000), Cd at (0.000, 0.238, 0.500), In at (0.000, 0.500, 0.000), Hg at (0.000, 0.500, 0.500), Hg at (0.173, 0.230, 0.172) and Hg at (0.174, 0.000, 0.639).

Record 4
Density functional theory data (PBE) for a relaxed La2Pr12Nd5 crystal.

As for the excess energy over the best structure of this formula in the dataset: 0 meV per atom.

It has space group C2/m (No. 12), with a = 18.471 Å, b = 11.993 Å, c = 6.377 Å, α = 90.00°, β = 102.96° and γ = 90.00°. Symmetry generates all atoms from La at (0.000, 0.224, 0.000), Pr at (0.055, 0.500, 0.275), Pr at (0.102, 0.254, 0.616), Pr at (0.123, 0.000, 0.992), Pr at (0.200, 0.257, 0.204), Nd at (0.000, 0.000, 0.500), Nd at (0.176, 0.500, 0.857) and Nd at (0.212, 0.000, 0.546).

Which value of excess energy over the best structure of this formula in the dataset does entry 3 give? 2 meV per atom

What is the formula in the third record? Cd3InHg7

Which of these has the highest excess energy over the best structure of this formula in the dataset? BeAlSe2